# Li2VIn2O6

A relaxed Li2VIn2O6 crystal (GGA+U, Alexandria).

Output
For the total magnetization, the calculation gives 2.000 μB/cell. The value obtained for the total energy is -5.96 eV per atom.

Cell: 5.4321 9.6194 5.2308 Å, 90.00 103.26 90.00°
Space group C2/m (No. 12)
Asymmetric unit:
Li: 0.0000 0.1426 0.0000 [4 per cell]
V: 0.0000 0.0000 0.5000 [2 per cell]
In: 0.0000 0.3343 0.5000 [4 per cell]
O: 0.1968 0.1571 0.7174 [8 per cell]
O: 0.2397 0.0000 0.2843 [4 per cell]